[1]
The following is a DFT calculation (PBE) of a relaxed Be2Tc2Sn crystal.

extended XYZ file:
```
10
Lattice="-0.656 1.321 6.056 -0.883 -6.047 1.224 3.207 -0.381 0.430" Properties=species:S:1:pos:R:3 pbc="T T T"
Be -1.033 -4.840 3.409
Be -1.124 -2.555 6.108
Be -0.506 0.114 3.870
Be -0.415 -2.171 1.171
Sn 0.000 0.000 0.000
Sn -0.770 -2.363 3.640
Tc 0.895 -4.033 2.088
Tc 0.431 -4.301 5.304
Tc 0.773 -1.074 5.622
Tc 1.236 -0.807 2.406
```

## Properties
DOS at the Fermi energy = 0.6 states/eV/f.u.
Relative energy among the computed polymorphs = 0.00 eV/f.u.
ΔH_f (0 K) = -76 kJ/mol of formula units

[2]
The following is a DFT calculation (PBE) of a relaxed Mg2ZnAu2 crystal.

extended XYZ file:
```
10
Lattice="-4.658 -0.731 -5.397 2.811 -6.406 -1.558 -2.392 -1.605 2.282" Properties=species:S:1:pos:R:3 pbc="T T T"
Zn 0.000 0.000 0.000
Zn -0.924 -3.568 -3.477
Au 0.751 -5.730 -3.242
Au -2.163 -4.762 -5.616
Au -2.598 -1.407 -3.713
Au 0.316 -2.375 -1.339
Mg -0.079 -5.118 -0.723
Mg -1.879 -6.688 -3.714
Mg -4.160 -3.623 -3.950
Mg -2.360 -2.053 -0.959
```

## Properties
DOS at the Fermi energy = 1.8 states/eV/f.u.
ΔH_f (0 K) = -210 kJ/mol of formula units

[3]
The following is a DFT calculation (PBE) of a relaxed NbOs3I crystal.

extended XYZ file:
```
5
Lattice="4.749 0.000 0.000 0.000 4.749 0.000 0.000 0.000 4.749" Properties=species:S:1:pos:R:3 pbc="T T T"
I 0.000 0.000 0.000
Nb 2.374 2.374 2.374
Os 0.000 2.374 0.000
Os 0.000 0.000 2.374
Os 2.374 0.000 0.000
```

## Properties
DOS at the Fermi energy = 10.4 states/eV/f.u.
Relative energy among the computed polymorphs = 1.36 eV/f.u.

[4]
The following is a DFT calculation (PBE) of a relaxed AcPm6Pb4 crystal.

extended XYZ file:
```
11
Lattice="-0.885 1.193 4.173 6.345 -6.869 3.309 3.203 9.184 -1.947" Properties=species:S:1:pos:R:3 pbc="T T T"
Ac 0.000 0.000 0.000
Pm 3.675 -2.982 1.632
Pm 5.956 3.814 2.523
Pm 4.898 0.526 0.888
Pm 7.321 -2.098 2.152
Pm 3.384 6.598 1.181
Pm 2.085 2.876 1.971
Pb 6.947 0.965 3.548
Pb 2.249 -0.174 2.877
Pb 5.371 -3.554 4.506
Pb 4.251 3.833 -0.195
```

## Properties
DOS at the Fermi energy = 8.8 states/eV/f.u.
ΔH_f (0 K) = -441 kJ/mol of formula units

[5]
The following is a DFT calculation (PBE) of a relaxed Be2VRh crystal.

extended XYZ file:
```
4
Lattice="-2.312 0.188 -1.489 1.374 -0.835 -2.238 -1.265 -5.490 1.272" Properties=species:S:1:pos:R:3 pbc="T T T"
Be -0.986 -4.282 0.992
Be -0.278 -1.208 0.280
Rh -0.469 -0.324 -1.864
V -1.101 -3.069 -1.228
```

## Properties
DOS at the Fermi energy = 3.2 states/eV/f.u.
Relative energy among the computed polymorphs = 0.00 eV/f.u.
ΔH_f (0 K) = -119 kJ/mol of formula units

[6]
The following is a DFT calculation (PBE) of a relaxed Si3TeAs crystal.

extended XYZ file:
```
5
Lattice="4.901 0.000 0.000 0.000 4.901 0.000 0.000 0.000 4.901" Properties=species:S:1:pos:R:3 pbc="T T T"
As 0.000 0.000 0.000
Te 2.450 2.450 2.450
Si 0.000 2.450 0.000
Si 0.000 0.000 2.450
Si 2.450 0.000 0.000
```

## Properties
DOS at the Fermi energy = 3.3 states/eV/f.u.
Relative energy among the computed polymorphs = 0.00 eV/f.u.

[7]
The following is a DFT calculation (PBE) of a relaxed Be2TlNi crystal.

extended XYZ file:
```
4
Lattice="-2.235 -0.100 3.083 -3.730 -0.672 -0.379 -1.229 -4.725 1.311" Properties=species:S:1:pos:R:3 pbc="T T T"
Ni -3.445 -3.645 2.090
Tl -1.784 -1.451 1.011
Be -1.374 -3.867 1.232
Be -5.417 -4.007 3.002
```

## Properties
DOS at the Fermi energy = 1.0 states/eV/f.u.
Relative energy among the computed polymorphs = 0.00 eV/f.u.
ΔH_f (0 K) = 60 kJ/mol of formula units

For each record above, in turn, the calculated calculated total energy values are -6.595 -2.639 -6.339 -4.729 -6.289 -3.895 -3.745 eV per atom.